First-principles (PBE+U) data for Li2Mn3CuO8 after structural relaxation, as listed in the Alexandria database.

Summary:
polymorph energy (0 for the lowest one): 12.5 meV per atom

The structure in extended XYZ format:
```
14
Lattice="-4.045 0.712 -4.295 -2.449 -4.694 -2.700 -5.700 -1.416 0.905" Properties=species:S:1:pos:R:3 pbc="T T T"
Li -1.453 -0.643 -0.726
Li -10.741 -4.755 -5.365
Mn -4.873 -0.352 -1.695
Mn -3.247 -1.991 -3.498
Mn -4.075 -3.055 -0.898
Cu -6.097 -2.699 -3.045
O -3.202 -1.418 -1.599
O -4.934 -1.042 -3.502
O -5.689 -2.013 -1.129
O -4.205 -3.509 -2.774
O -7.989 -1.889 -3.316
O -6.505 -3.385 -4.961
O -7.261 -4.356 -2.588
O -8.992 -3.981 -4.491
```